*P*
Crystalline SbRuBr at its relaxed geometry. Source: Alexandria, functional GGA-PBE.

Computed properties:
**Space-group type**: P2_1/m (11)
**Spin magnetization**: 0.000 μB per formula unit
**N(E_F)**: 1.73 states/eV/cell

Cell lengths 5.3109, 3.7826, 7.6615 Å; angles 90.00, 95.27, 90.00 degrees
Last column: nearest neighbours and their distance in Å.
Element x y z (fractional)
Sb (0.1916, 0.2500, 0.1069)  4 Ru 2.55-2.77
Sb (0.8084, 0.7500, 0.8931)  4 Ru 2.55-2.77
Ru (0.3282, 0.7500, 0.8862)  4 Sb 2.55-2.77, 2 Br 2.60
Ru (0.6718, 0.2500, 0.1138)  4 Sb 2.55-2.77, 2 Br 2.60
Br (0.2648, 0.2500, 0.6536)  2 Ru 2.60
Br (0.7352, 0.7500, 0.3464)  2 Ru 2.60

---

*Q*
Crystalline SbRuBr at its relaxed geometry. Source: Alexandria, functional GGA-PBE.

Computed properties:
**Space-group type**: F-43m (216)
**Spin magnetization**: 0.000 μB per formula unit
**N(E_F)**: 4.00 states/eV/cell

Cell lengths 6.4055, 6.4055, 6.4055 Å; angles 90.00, 90.00, 90.00 degrees
Last column: nearest neighbours and their distance in Å.
Element x y z (fractional)
Sb (0.0000, 0.0000, 0.0000)  4 Ru 2.77
Sb (0.0000, 0.5000, 0.5000)  4 Ru 2.77
Sb (0.5000, 0.0000, 0.5000)  4 Ru 2.77
Sb (0.5000, 0.5000, 0.0000)  4 Ru 2.77
Ru (0.2500, 0.2500, 0.7500)  4 Sb 2.77, 4 Br 2.77
Ru (0.2500, 0.7500, 0.2500)  4 Sb 2.77, 4 Br 2.77
Ru (0.7500, 0.2500, 0.2500)  4 Sb 2.77, 4 Br 2.77
Ru (0.7500, 0.7500, 0.7500)  4 Sb 2.77, 4 Br 2.77
Br (0.0000, 0.0000, 0.5000)  4 Ru 2.77
Br (0.0000, 0.5000, 0.0000)  4 Ru 2.77
Br (0.5000, 0.0000, 0.0000)  4 Ru 2.77
Br (0.5000, 0.5000, 0.5000)  4 Ru 2.77

---

Which of them is the most stable? Correct choice: *P*.

---

*P*
Crystalline SbTe2RuBr at its relaxed geometry. Source: Alexandria, functional GGA-PBE.

Computed properties:
**Space-group type**: P4/mmm (123)
**Spin magnetization**: 0.000 μB per formula unit
**N(E_F)**: 8.12 states/eV/cell

Cell lengths 5.2284, 5.2284, 5.2369 Å; angles 90.00, 90.00, 90.00 degrees
Last column: nearest neighbours and their distance in Å.
Element x y z (fractional)
Sb (0.0000, 0.0000, 0.0000)  2 Ru 2.62
Te (0.0000, 0.5000, 0.5000)  2 Ru 2.61
Te (0.5000, 0.0000, 0.5000)  2 Ru 2.61
Ru (0.0000, 0.0000, 0.5000)  4 Te 2.61, 2 Sb 2.62
Br (0.5000, 0.5000, 0.0000)  4 Sb 3.70, 8 Te 3.70

---

*Q*
Crystalline SbTe2RuBr at its relaxed geometry. Source: Alexandria, functional GGA-PBE.

Computed properties:
**Space-group type**: P4/mmm (123)
**Spin magnetization**: 2.216 μB per formula unit
**N(E_F)**: 9.26 states/eV/cell

Cell lengths 5.4399, 5.4399, 5.3543 Å; angles 90.00, 90.00, 90.00 degrees
Last column: nearest neighbours and their distance in Å.
Element x y z (fractional)
Sb (0.0000, 0.0000, 0.0000)  2 Br 2.68
Te (0.0000, 0.5000, 0.5000)  2 Br 2.72
Te (0.5000, 0.0000, 0.5000)  2 Br 2.72
Ru (0.5000, 0.5000, 0.0000)  8 Te 3.82, 4 Sb 3.85
Br (0.0000, 0.0000, 0.5000)  2 Sb 2.68, 4 Te 2.72

---

Which of them is the most stable? Correct choice: *P*.

---

*P*
Crystalline Sc2RuBr at its relaxed geometry. Source: Alexandria, functional GGA-PBE.

Computed properties:
**Space-group type**: I-42d (122)
**Spin magnetization**: 0.000 μB per formula unit
**N(E_F)**: 18.45 states/eV/cell

Cell lengths 6.1319, 6.1319, 11.7356 Å; angles 90.00, 90.00, 90.00 degrees
Last column: nearest neighbours and their distance in Å.
Element x y z (fractional)
Sc (0.1977, 0.2500, 0.1250)  2 Ru 2.44
Sc (0.2500, 0.6977, 0.3750)  2 Ru 2.44
Sc (0.2500, 0.8023, 0.8750)  2 Ru 2.44
Sc (0.3023, 0.2500, 0.6250)  2 Ru 2.44
Sc (0.6977, 0.7500, 0.6250)  2 Ru 2.44
Sc (0.7500, 0.1977, 0.8750)  2 Ru 2.44
Sc (0.7500, 0.3023, 0.3750)  2 Ru 2.44
Sc (0.8023, 0.7500, 0.1250)  2 Ru 2.44
Ru (0.0000, 0.0000, 0.0000)  4 Sc 2.44
Ru (0.0000, 0.5000, 0.2500)  4 Sc 2.44
Ru (0.5000, 0.0000, 0.7500)  4 Sc 2.44
Ru (0.5000, 0.5000, 0.5000)  4 Sc 2.44
Br (0.0000, 0.0000, 0.5000)  4 Sc 2.82
Br (0.0000, 0.5000, 0.7500)  4 Sc 2.82
Br (0.5000, 0.0000, 0.2500)  4 Sc 2.82
Br (0.5000, 0.5000, 0.0000)  4 Sc 2.82

---

*Q*
Crystalline Sc2RuBr at its relaxed geometry. Source: Alexandria, functional GGA-PBE.

Computed properties:
**Space-group type**: R-3m (166)
**Spin magnetization**: 0.850 μB per formula unit
**N(E_F)**: 10.54 states/eV/cell

Cell lengths 3.2459, 3.2459, 27.3449 Å; angles 90.00, 90.00, 120.00 degrees
Last column: nearest neighbours and their distance in Å.
Element x y z (fractional)
Sc (0.0000, 0.0000, 0.0851)  1 Ru 2.33
Sc (0.0000, 0.0000, 0.9149)  1 Ru 2.33
Sc (0.3333, 0.6667, 0.5816)  1 Ru 2.33
Sc (0.3333, 0.6667, 0.7517)  1 Ru 2.33
Sc (0.6667, 0.3333, 0.2483)  1 Ru 2.33
Sc (0.6667, 0.3333, 0.4184)  1 Ru 2.33
Ru (0.0000, 0.0000, 0.0000)  2 Sc 2.33
Ru (0.3333, 0.6667, 0.6667)  2 Sc 2.33
Ru (0.6667, 0.3333, 0.3333)  2 Sc 2.33
Br (0.0000, 0.0000, 0.5000)  6 Sc 2.91, 6 Br 3.25
Br (0.3333, 0.6667, 0.1667)  6 Sc 2.91, 6 Br 3.25
Br (0.6667, 0.3333, 0.8333)  6 Sc 2.91, 6 Br 3.25

---

*R*
Crystalline Sc2RuBr at its relaxed geometry. Source: Alexandria, functional GGA-PBE.

Computed properties:
**Space-group type**: Cm (8)
**Spin magnetization**: 0.000 μB per formula unit
**N(E_F)**: 4.62 states/eV/cell

Cell lengths 10.3952, 3.3048, 4.4595 Å; angles 90.00, 90.27, 90.00 degrees
Last column: nearest neighbours and their distance in Å.
Element x y z (fractional)
Sc (0.0000, 0.0000, 0.0000)  4 Ru 2.79-2.80, 3 Br 2.80-2.91
Sc (0.2094, 0.5000, 0.5024)  1 Ru 2.51
Sc (0.5000, 0.5000, 0.0000)  4 Ru 2.79-2.80, 3 Br 2.80-2.91
Sc (0.7094, 0.0000, 0.5024)  1 Ru 2.51
Ru (0.4677, 0.0000, 0.5006)  5 Sc 2.51-2.80
Ru (0.9677, 0.5000, 0.5006)  5 Sc 2.51-2.80
Br (0.2692, 0.0000, 0.0028)  7 Sc 2.80-2.91, 2 Ru 3.02-3.05
Br (0.7692, 0.5000, 0.0028)  7 Sc 2.80-2.91, 2 Ru 3.02-3.05

---

*S*
Crystalline Sc2RuBr at its relaxed geometry. Source: Alexandria, functional GGA-PBE.

Computed properties:
**Space-group type**: P4mm (99)
**Spin magnetization**: 0.000 μB per formula unit
**N(E_F)**: 2.63 states/eV/cell

Cell lengths 3.7564, 3.7564, 6.0269 Å; angles 90.00, 90.00, 90.00 degrees
Last column: nearest neighbours and their distance in Å.
Element x y z (fractional)
Sc (0.0000, 0.0000, 0.0000)  4 Ru 2.67, 1 Br 2.93
Sc (0.5000, 0.5000, 0.3520)  1 Ru 2.39
Ru (0.5000, 0.5000, 0.9560)  5 Sc 2.39-2.67
Br (0.0000, 0.0000, 0.5145)  6 Sc 2.83-3.10

---

Which of them is the most stable? Correct choice: *R*.

---

*P*
Crystalline Sc2RuBr at its relaxed geometry. Source: Alexandria, functional GGA-PBE.

Computed properties:
**Space-group type**: Fm-3m (225)
**Spin magnetization**: 0.000 μB per formula unit
**N(E_F)**: 20.58 states/eV/cell

Cell lengths 6.7327, 6.7327, 6.7327 Å; angles 90.00, 90.00, 90.00 degrees
Last column: nearest neighbours and their distance in Å.
Element x y z (fractional)
Sc (0.2500, 0.2500, 0.2500)  4 Br 2.92, 4 Ru 2.92
Sc (0.2500, 0.2500, 0.7500)  4 Br 2.92, 4 Ru 2.92
Sc (0.2500, 0.7500, 0.2500)  4 Br 2.92, 4 Ru 2.92
Sc (0.2500, 0.7500, 0.7500)  4 Br 2.92, 4 Ru 2.92
Sc (0.7500, 0.2500, 0.2500)  4 Br 2.92, 4 Ru 2.92
Sc (0.7500, 0.2500, 0.7500)  4 Br 2.92, 4 Ru 2.92
Sc (0.7500, 0.7500, 0.2500)  4 Br 2.92, 4 Ru 2.92
Sc (0.7500, 0.7500, 0.7500)  4 Br 2.92, 4 Ru 2.92
Ru (0.0000, 0.0000, 0.0000)  8 Sc 2.92
Ru (0.0000, 0.5000, 0.5000)  8 Sc 2.92
Ru (0.5000, 0.0000, 0.5000)  8 Sc 2.92
Ru (0.5000, 0.5000, 0.0000)  8 Sc 2.92
Br (0.0000, 0.0000, 0.5000)  8 Sc 2.92
Br (0.0000, 0.5000, 0.0000)  8 Sc 2.92
Br (0.5000, 0.0000, 0.0000)  8 Sc 2.92
Br (0.5000, 0.5000, 0.5000)  8 Sc 2.92

---

*Q*
Crystalline Sc2RuBr at its relaxed geometry. Source: Alexandria, functional GGA-PBE.

Computed properties:
**Space-group type**: Cmm2 (35)
**Spin magnetization**: 0.427 μB per formula unit
**N(E_F)**: 8.85 states/eV/cell

Cell lengths 3.6232, 5.2967, 9.2487 Å; angles 90.00, 90.00, 90.00 degrees
Last column: nearest neighbours and their distance in Å.
Element x y z (fractional)
Sc (0.0000, 0.0000, 0.0000)  2 Br 2.65
Sc (0.0000, 0.5000, 0.2879)  2 Ru 2.48
Sc (0.5000, 0.0000, 0.2879)  2 Ru 2.48
Sc (0.5000, 0.5000, 0.0000)  2 Br 2.65
Ru (0.0000, 0.0000, 0.4716)  2 Sc 2.48
Ru (0.5000, 0.5000, 0.4716)  2 Sc 2.48
Br (0.0000, 0.5000, 0.7905)  2 Sc 2.65
Br (0.5000, 0.0000, 0.7905)  2 Sc 2.65

---

Which of them is the most stable? Correct choice: *P*.

---

*P*
Crystalline Sc2RuBr at its relaxed geometry. Source: Alexandria, functional GGA-PBE.

Computed properties:
**Space-group type**: I-4m2 (119)
**Spin magnetization**: 0.000 μB per formula unit
**N(E_F)**: 6.02 states/eV/cell

Cell lengths 3.7968, 3.7968, 10.4542 Å; angles 90.00, 90.00, 90.00 degrees
Last column: nearest neighbours and their distance in Å.
Element x y z (fractional)
Sc (0.0000, 0.0000, 0.0000)  4 Ru 2.68
Sc (0.0000, 0.5000, 0.2500)  4 Br 2.68
Sc (0.5000, 0.0000, 0.7500)  4 Br 2.68
Sc (0.5000, 0.5000, 0.5000)  4 Ru 2.68
Ru (0.0000, 0.0000, 0.5000)  4 Sc 2.68
Ru (0.5000, 0.5000, 0.0000)  4 Sc 2.68
Br (0.0000, 0.5000, 0.7500)  4 Sc 2.68
Br (0.5000, 0.0000, 0.2500)  4 Sc 2.68

---

*Q*
Crystalline Sc2RuBr at its relaxed geometry. Source: Alexandria, functional GGA-PBE.

Computed properties:
**Space-group type**: F-43m (216)
**Spin magnetization**: 0.463 μB per formula unit
**N(E_F)**: 23.28 states/eV/cell

Cell lengths 6.7282, 6.7282, 6.7282 Å; angles 90.00, 90.00, 90.00 degrees
Last column: nearest neighbours and their distance in Å.
Element x y z (fractional)
Sc (0.0000, 0.0000, 0.0000)  4 Br 2.91, 4 Sc 2.91
Sc (0.0000, 0.5000, 0.5000)  4 Br 2.91, 4 Sc 2.91
Sc (0.2500, 0.2500, 0.2500)  4 Sc 2.91, 4 Ru 2.91
Sc (0.2500, 0.7500, 0.7500)  4 Sc 2.91, 4 Ru 2.91
Sc (0.5000, 0.0000, 0.5000)  4 Br 2.91, 4 Sc 2.91
Sc (0.5000, 0.5000, 0.0000)  4 Br 2.91, 4 Sc 2.91
Sc (0.7500, 0.2500, 0.7500)  4 Sc 2.91, 4 Ru 2.91
Sc (0.7500, 0.7500, 0.2500)  4 Sc 2.91, 4 Ru 2.91
Ru (0.0000, 0.0000, 0.5000)  4 Sc 2.91, 4 Br 2.91
Ru (0.0000, 0.5000, 0.0000)  4 Sc 2.91, 4 Br 2.91
Ru (0.5000, 0.0000, 0.0000)  4 Sc 2.91, 4 Br 2.91
Ru (0.5000, 0.5000, 0.5000)  4 Sc 2.91, 4 Br 2.91
Br (0.2500, 0.2500, 0.7500)  4 Ru 2.91, 4 Sc 2.91
Br (0.2500, 0.7500, 0.2500)  4 Ru 2.91, 4 Sc 2.91
Br (0.7500, 0.2500, 0.2500)  4 Ru 2.91, 4 Sc 2.91
Br (0.7500, 0.7500, 0.7500)  4 Ru 2.91, 4 Sc 2.91

---

Which of them is the most stable? Correct choice: *P*.